This record from Alexandria describes SmHg2 after structural relaxation. The functional is GGA-PBEsol.

Cell lengths 3.8741, 4.5737, 4.5737 Å; angles 108.87, 101.28, 78.72 degrees
Fractional positions:
Hg  0.3545  0.3370  0.6630
Hg  0.6455  0.6630  0.3370
Sm  0.0000  0.0000  0.0000

Calculated values
Calculated volume, Å³ per atom: 24.8
DFT formation energy, eV per atom: -0.49
Space-group type: No. 12
Magnetization, μB/cell: 0.00